(1)
A plane-wave DFT calculation with PBE-GGA was carried out for crystalline Sm2Zr3Sn4 at its relaxed geometry.

Lattice parameters (Å, degrees): 7.9279 7.9130 7.7558 90.00 110.17 90.00
Element x y z (fractional)
1 Sm 0.1864 0.1694 0.0588
2 Sm 0.1864 0.3306 0.5588
3 Sm 0.8136 0.6694 0.4412
4 Sm 0.8136 0.8306 0.9412
5 Zr 0.2540 0.6722 0.2471
6 Zr 0.2540 0.8278 0.7471
7 Zr 0.5000 0.0000 0.5000
8 Zr 0.5000 0.5000 0.0000
9 Zr 0.7460 0.1722 0.2529
10 Zr 0.7460 0.3278 0.7529
11 Sn 0.0847 0.5382 0.8524
12 Sn 0.0847 0.9618 0.3524
13 Sn 0.4880 0.1359 0.8599
14 Sn 0.4880 0.3641 0.3599
15 Sn 0.5120 0.6359 0.6401
16 Sn 0.5120 0.8641 0.1401
17 Sn 0.9153 0.0382 0.6476
18 Sn 0.9153 0.4618 0.1476

Energy of formation: -0.692 eV/atom
N(E_F): 15.41 states/eV per cell
Space-group type: No. 14

(2)
A plane-wave DFT calculation with PBE-GGA was carried out for crystalline SmZrSn at its relaxed geometry.

Lattice parameters (Å, degrees): 3.1243 3.1243 17.3116 90.00 90.00 90.00
Element x y z (fractional)
1 Sm 0.0000 0.0000 0.0000
2 Sm 0.5000 0.5000 0.5000
3 Zr 0.0000 0.0000 0.1867
4 Zr 0.5000 0.5000 0.6867
5 Sn 0.0000 0.0000 0.8165
6 Sn 0.5000 0.5000 0.3165

Energy of formation: 0.236 eV/atom
N(E_F): 7.11 states/eV per cell
Space-group type: No. 107

(3)
A plane-wave DFT calculation with PBE-GGA was carried out for crystalline SmZrSn2 at its relaxed geometry.

Lattice parameters (Å, degrees): 3.9114 3.9114 6.6426 90.00 90.00 90.00
Element x y z (fractional)
1 Sm 0.0000 0.0000 0.0000
2 Zr 0.0000 0.0000 0.5000
3 Sn 0.5000 0.5000 0.2772
4 Sn 0.5000 0.5000 0.7228

Energy of formation: -0.493 eV/atom
N(E_F): 3.16 states/eV per cell
Space-group type: No. 123